# RbPaF5

RbPaF5 after structural relaxation (GGA-PBE, the Alexandria database).

Calculated values
Magnetic moment ... 2.0 μB/cell
Energy relative to the elements, uncorrected ... -3566 meV per atom

a = 6.544 Å, b = 6.544 Å, c = 9.218 Å
α = 106.24°, β = 106.24°, γ = 74.50°
Fractional positions:
Rb 0.018 0.982 0.750
Rb 0.982 0.018 0.250
Pa 0.500 0.500 0.000
Pa 0.500 0.500 0.500
F 0.217 0.764 0.016
F 0.236 0.783 0.484
F 0.266 0.294 0.406
F 0.294 0.266 0.906
F 0.464 0.536 0.750
F 0.536 0.464 0.250
F 0.706 0.734 0.094
F 0.734 0.706 0.594
F 0.764 0.217 0.516
F 0.783 0.236 0.984